Record 1
Below is crystalline Tc2Os5W at its relaxed geometry, with properties calculated at the PBE-GGA level.

CIF file:
```
data_Tc2Os5W
_cell_length_a 5.482
_cell_length_b 5.482
_cell_length_c 7.775
_cell_angle_alpha 90.00
_cell_angle_beta 90.00
_cell_angle_gamma 90.00
_symmetry_space_group_name_H-M 'I 4/m m m'
_symmetry_Int_Tables_number 139
_symmetry_space_group_name_Hall '-I 4 2'
loop_
_atom_site_label
_atom_site_fract_x
_atom_site_fract_y
_atom_site_fract_z
Tc1 0.000 0.500 0.000
Os1 0.000 0.000 0.000
Os2 0.250 0.250 0.250
W1 0.000 0.000 0.500
```

Properties
- formation energy from the elements (eV/atom) = 0.051

=====

Record 2
Below is crystalline MoBr at its relaxed geometry, with properties calculated at the PBE-GGA level.

CIF file:
```
data_MoBr
_cell_length_a 11.916
_cell_length_b 4.135
_cell_length_c 7.261
_cell_angle_alpha 90.00
_cell_angle_beta 90.00
_cell_angle_gamma 90.00
_symmetry_space_group_name_H-M 'P m n 21'
_symmetry_Int_Tables_number 31
_symmetry_space_group_name_Hall 'P 2ac -2'
loop_
_atom_site_label
_atom_site_fract_x
_atom_site_fract_y
_atom_site_fract_z
Mo1 0.000 0.063 0.000
Mo2 0.112 0.545 0.010
Br1 0.000 0.742 0.700
Br2 0.192 0.481 0.333
```

Properties
- E above lowest polymorph (meV/atom) = 385.3
- energy relative to the elements, uncorrected (eV per atom) = 0.31

=====

The records above give, respectively, V values of 14.60, 29.81 A^3/atom.
The records above give, respectively, N(E_F) values of 0.8273, 0.1811 states/eV per atom.
The records above give, respectively, electronic total energy values of -11.18, -5.94 eV/atom.